# CeSm2Si2 | Alexandria | PBE | relaxed
# - magnetic moment (μB per atom) = 0.10
# - DFT total energy (eV per atom) = -5.767
# - volume (Å³/f.u.) = 125.4
# - energy relative to the elements, uncorrected (eV per formula unit) = -2.6
# - crystal system = monoclinic
# - DOS at the Fermi energy (states/eV per cell) = 27.5
data_CeSm2Si2
_cell_length_a 12.195
_cell_length_b 4.363
_cell_length_c 10.589
_cell_angle_alpha 90.00
_cell_angle_beta 117.09
_cell_angle_gamma 90.00
_symmetry_space_group_name_H-M 'C 1 2/m 1'
_symmetry_Int_Tables_number 12
loop_
_symmetry_equiv_pos_as_xyz
'x,y,z'
'-x,-y,-z'
'-x,y,-z'
'x,-y,z'
'x+1/2,y+1/2,z'
'-x+1/2,-y+1/2,-z'
'-x+1/2,y+1/2,-z'
'x+1/2,-y+1/2,z'
loop_
_atom_site_label
_atom_site_type_symbol
_atom_site_fract_x
_atom_site_fract_y
_atom_site_fract_z
Ce1 Ce 0.216 0.000 0.364
Sm1 Sm 0.012 0.500 0.686
Sm2 Sm 0.184 0.500 0.097
Si1 Si 0.028 0.000 0.903
Si2 Si 0.110 0.000 0.567

---

# Zr2MoW | Alexandria | PBE | relaxed
# - magnetic moment (μB per atom) = 0.00
# - offset from the most stable computed form (eV/atom) = 0.124
# - DFT total energy (eV per atom) = -10.067
# - volume (Å³/f.u.) = 74.5
# - formation energy (eV per atom) = 0.15
# - crystal system = orthorhombic
# - DOS at the Fermi energy (states/eV per cell) = 9.6
data_Zr2MoW
_cell_length_a 3.327
_cell_length_b 4.832
_cell_length_c 9.271
_cell_angle_alpha 90.00
_cell_angle_beta 90.00
_cell_angle_gamma 90.00
_symmetry_space_group_name_H-M 'I m m m'
_symmetry_Int_Tables_number 71
_symmetry_space_group_name_Hall '-I 2 2'
loop_
_atom_site_label
_atom_site_type_symbol
_atom_site_fract_x
_atom_site_fract_y
_atom_site_fract_z
Zr1 Zr 0.000 0.000 0.244
Mo1 Mo 0.000 0.500 0.500
W1 W 0.000 0.500 0.000

---

# Co4Ni5Rh | Alexandria | PBE | relaxed
# - magnetic moment (μB per atom) = 1.16
# - offset from the most stable computed form (eV/atom) = 0.041
# - DFT total energy (eV per atom) = -6.170
# - volume (Å³/f.u.) = 120.7
# - formation energy (eV per atom) = 0.30
# - crystal system = orthorhombic
# - DOS at the Fermi energy (states/eV per cell) = 25.3
data_Co4Ni5Rh
_cell_length_a 2.533
_cell_length_b 8.930
_cell_length_c 10.675
_cell_angle_alpha 90.00
_cell_angle_beta 90.00
_cell_angle_gamma 90.00
_symmetry_space_group_name_H-M 'I m m m'
_symmetry_Int_Tables_number 71
_symmetry_space_group_name_Hall '-I 2 2'
loop_
_atom_site_label
_atom_site_type_symbol
_atom_site_fract_x
_atom_site_fract_y
_atom_site_fract_z
Co1 Co 0.000 0.000 0.212
Co2 Co 0.000 0.284 0.500
Ni1 Ni 0.000 0.000 0.000
Ni2 Ni 0.000 0.320 0.169
Rh1 Rh 0.000 0.000 0.500